Ce2YTm3Sb6 | GGA-PBE | optimized geometry

The structure in extended XYZ format:
```
12
Lattice="4.405 0.000 0.000 0.000 8.790 0.319 -2.202 -2.526 9.240" Properties=species:S:1:pos:R:3 pbc="T T T"
Ce 2.202 4.185 6.391
Ce 0.000 2.079 3.167
Y 2.202 0.000 0.000
Tm 2.202 4.395 0.159
Tm 2.202 -0.224 6.206
Tm 0.000 6.488 3.353
Sb 0.000 6.433 6.444
Sb 2.202 4.342 3.233
Sb 2.202 -0.169 3.114
Sb 2.202 -0.303 9.272
Sb 0.000 6.567 0.286
Sb 0.000 1.922 6.326
```

The value obtained for the spin magnetization is 1.5 μB/cell. As for the space group: C2/m. The density of states at the Fermi level comes out at 1.218 states/eV/atom. Its uncorrected formation energy is -1.07 eV/atom. The total energy comes out at -5.781 eV per atom.